# 1
VASP calculation (PBE-GGA) on an optimized crystal structure of Li7TlIn4.

```
data_Li7TlIn4
_chemical_formula_sum 'Li14 Tl2 In8'
_cell_length_a 13.529
_cell_length_b 5.078
_cell_length_c 8.304
_cell_angle_alpha 90.00
_cell_angle_beta 118.72
_cell_angle_gamma 90.00
_symmetry_space_group_name_H-M 'C 1 2/m 1'
_symmetry_Int_Tables_number 12
_symmetry_space_group_name_Hall '-C 2y'
loop_
_atom_site_label
_atom_site_fract_x
_atom_site_fract_y
_atom_site_fract_z
Li1 0.000 0.000 0.000
Li2 0.084 0.500 0.447
Li3 0.211 0.500 0.884
Li4 0.224 0.500 0.253
Tl1 0.000 0.500 0.000
In1 0.068 0.000 0.711
In2 0.175 0.000 0.361
```

Computed properties:
Final energy in eV/atom: -2.396
ΔE_f in eV per atom: -0.17
Crystal system: monoclinic

=====

# 2
VASP calculation (PBE-GGA) on an optimized crystal structure of CsNaSr.

```
data_CsNaSr
_chemical_formula_sum 'Cs1 Na1 Sr1'
_cell_length_a 4.5058
_cell_length_b 4.5058
_cell_length_c 10.7166
_cell_angle_alpha 90.00
_cell_angle_beta 90.00
_cell_angle_gamma 120.00
_symmetry_space_group_name_H-M 'P 3 m 1'
_symmetry_Int_Tables_number 156
_symmetry_space_group_name_Hall 'P 3 -2"'
loop_
_atom_site_label
_atom_site_fract_x
_atom_site_fract_y
_atom_site_fract_z
Cs1 0.0000 0.0000 0.0000
Na1 0.6667 0.3333 0.3383
Sr1 0.3333 0.6667 0.6199
```

Computed properties:
Final energy in eV/atom: -1.149
ΔE_f in eV per atom: 0.14
Crystal system: trigonal

=====

# 3
VASP calculation (PBE-GGA) on an optimized crystal structure of LiPrThRu.

```
data_LiPrThRu
_chemical_formula_sum 'Li4 Pr4 Th4 Ru4'
_cell_length_a 7.213
_cell_length_b 7.213
_cell_length_c 7.213
_cell_angle_alpha 90.00
_cell_angle_beta 90.00
_cell_angle_gamma 90.00
_symmetry_space_group_name_H-M 'F -4 3 m'
_symmetry_Int_Tables_number 216
_symmetry_space_group_name_Hall 'F -4 2 3'
loop_
_atom_site_label
_atom_site_fract_x
_atom_site_fract_y
_atom_site_fract_z
Li1 0.000 0.000 0.000
Pr1 0.250 0.250 0.750
Th1 0.250 0.250 0.250
Ru1 0.000 0.000 0.500
```

Computed properties:
Final energy in eV/atom: -5.952
ΔE_f in eV per atom: -0.10
Crystal system: cubic

=====

# 4
VASP calculation (PBE-GGA) on an optimized crystal structure of Tl3Ga8Hg3.

```
data_Tl3Ga8Hg3
_chemical_formula_sum 'Tl6 Ga16 Hg6'
_cell_length_a 17.670
_cell_length_b 3.852
_cell_length_c 11.661
_cell_angle_alpha 90.00
_cell_angle_beta 120.55
_cell_angle_gamma 90.00
_symmetry_space_group_name_H-M 'C 1 2/m 1'
_symmetry_Int_Tables_number 12
_symmetry_space_group_name_Hall '-C 2y'
loop_
_atom_site_label
_atom_site_fract_x
_atom_site_fract_y
_atom_site_fract_z
Tl1 0.000 0.000 0.000
Tl2 0.211 0.500 0.623
Ga1 0.039 0.500 0.717
Ga2 0.103 0.500 0.235
Ga3 0.105 0.000 0.388
Ga4 0.144 0.000 0.891
Hg1 0.000 0.000 0.500
Hg2 0.199 0.500 0.107
```

Computed properties:
Final energy in eV/atom: -2.224
ΔE_f in eV per atom: 0.08
Crystal system: monoclinic

=====

# 5
VASP calculation (PBE-GGA) on an optimized crystal structure of CeYTm5.

```
data_CeYTm5
_chemical_formula_sum 'Ce4 Y4 Tm20'
_cell_length_a 11.107
_cell_length_b 12.503
_cell_length_c 6.819
_cell_angle_alpha 90.00
_cell_angle_beta 109.17
_cell_angle_gamma 90.00
_symmetry_space_group_name_H-M 'C 1 2/c 1'
_symmetry_Int_Tables_number 15
_symmetry_space_group_name_Hall '-C 2yc'
loop_
_atom_site_label
_atom_site_fract_x
_atom_site_fract_y
_atom_site_fract_z
Ce1 0.250 0.250 0.000
Y1 0.000 0.148 0.250
Tm1 0.000 0.115 0.750
Tm2 0.033 0.367 0.533
Tm3 0.248 0.027 0.641
```

Computed properties:
Final energy in eV/atom: -4.739
ΔE_f in eV per atom: 0.23
Crystal system: monoclinic

=====

# 6
VASP calculation (PBE-GGA) on an optimized crystal structure of Cs2AcTlBr6.

```
data_Cs2AcTlBr6
_chemical_formula_sum 'Cs4 Ac2 Tl2 Br12'
_cell_length_a 8.468
_cell_length_b 8.931
_cell_length_c 14.704
_cell_angle_alpha 90.00
_cell_angle_beta 124.23
_cell_angle_gamma 90.00
_symmetry_space_group_name_H-M 'P 1 21/c 1'
_symmetry_Int_Tables_number 14
_symmetry_space_group_name_Hall '-P 2ybc'
loop_
_atom_site_label
_atom_site_fract_x
_atom_site_fract_y
_atom_site_fract_z
Cs1 0.223 0.069 0.247
Ac1 0.500 0.000 0.000
Tl1 0.000 0.000 0.500
Br1 0.161 0.189 0.950
Br2 0.259 0.718 0.943
Br3 0.367 0.036 0.761
```

Computed properties:
Final energy in eV/atom: -3.558
Crystal system: monoclinic
ΔE_f (raw) in meV/atom: -1736

=====

# 7
VASP calculation (PBE-GGA) on an optimized crystal structure of Dy3Ga3Au.

```
data_Dy3Ga3Au
_chemical_formula_sum 'Dy12 Ga12 Au4'
_cell_length_a 10.731
_cell_length_b 4.404
_cell_length_c 14.307
_cell_angle_alpha 90.00
_cell_angle_beta 109.94
_cell_angle_gamma 90.00
_symmetry_space_group_name_H-M 'C 1 2/m 1'
_symmetry_Int_Tables_number 12
_symmetry_space_group_name_Hall '-C 2y'
loop_
_atom_site_label
_atom_site_fract_x
_atom_site_fract_y
_atom_site_fract_z
Dy1 0.036 0.000 0.380
Dy2 0.105 0.000 0.925
Dy3 0.237 0.000 0.226
Ga1 0.023 0.500 0.226
Ga2 0.110 0.500 0.075
Ga3 0.128 0.500 0.540
Au1 0.247 0.500 0.387
```

Computed properties:
Final energy in eV/atom: -4.442
ΔE_f in eV per atom: -0.70
Crystal system: monoclinic

=====

# 8
VASP calculation (PBE-GGA) on an optimized crystal structure of V4B.

```
data_V4B
_chemical_formula_sum 'V16 B4'
_cell_length_a 6.709
_cell_length_b 6.709
_cell_length_c 5.545
_cell_angle_alpha 90.00
_cell_angle_beta 90.00
_cell_angle_gamma 90.00
_symmetry_space_group_name_H-M 'I 41/a m d'
_symmetry_Int_Tables_number 141
loop_
_symmetry_equiv_pos_as_xyz
'x,y,z'
'-x,-y,-z'
'-y+1/4,x+3/4,z+1/4'
'y+1/4,-x+3/4,-z+1/4'
'-x+1/2,-y,z+1/2'
'x+1/2,y,-z+1/2'
'y+1/4,-x+1/4,z+3/4'
'-y+1/4,x+1/4,-z+3/4'
'x,-y,-z'
'-x,y,z'
'-y+1/4,-x+1/4,-z+3/4'
'y+1/4,x+1/4,z+3/4'
'-x+1/2,y,-z+1/2'
'x+1/2,-y,z+1/2'
'y+1/4,x+3/4,-z+1/4'
'-y+1/4,-x+3/4,z+1/4'
'x+1/2,y+1/2,z+1/2'
'-x+1/2,-y+1/2,-z+1/2'
'-y+3/4,x+1/4,z+3/4'
'y+3/4,-x+1/4,-z+3/4'
'-x,-y+1/2,z'
'x,y+1/2,-z'
'y+3/4,-x+3/4,z+1/4'
'-y+3/4,x+3/4,-z+1/4'
'x+1/2,-y+1/2,-z+1/2'
'-x+1/2,y+1/2,z+1/2'
'-y+3/4,-x+3/4,-z+1/4'
'y+3/4,x+3/4,z+1/4'
'-x,y+1/2,-z'
'x,-y+1/2,z'
'y+3/4,x+1/4,-z+3/4'
'-y+3/4,-x+1/4,z+3/4'
loop_
_atom_site_label
_atom_site_fract_x
_atom_site_fract_y
_atom_site_fract_z
V1 0.000 0.054 0.215
B1 0.000 0.250 0.875
```

Computed properties:
Final energy in eV/atom: -8.741
ΔE_f in eV per atom: -0.11
Crystal system: tetragonal